# La2Hg2Te, optimized geometry, DFT GGA-PBE
data_La2Hg2Te
_chemical_formula_sum 'La4 Hg4 Te2'
_space_group_name_H-M_alt 'P 4/m b m'
_space_group_IT_number 127
_space_group_name_Hall '-P 4 2ab'
_cell_length_a 8.474
_cell_length_b 8.474
_cell_length_c 4.555
_cell_angle_alpha 90.00
_cell_angle_beta 90.00
_cell_angle_gamma 90.00
loop_
_atom_site_label
_atom_site_type_symbol
_atom_site_fract_x
_atom_site_fract_y
_atom_site_fract_z
La1 La 0.164 0.336 0.000
Hg1 Hg 0.134 0.634 0.500
Te1 Te 0.000 0.000 0.000
# E_tot: -34.15 eV/cell
# Density: 8.19 Mg/m³
# E_form (uncorrected): -0.70 eV/atom

# La2HgTe, optimized geometry, DFT GGA-PBE
data_La2HgTe
_chemical_formula_sum 'La6 Hg3 Te3'
_space_group_name_H-M_alt 'R 3 m'
_space_group_IT_number 160
_space_group_name_Hall 'R 3 -2"'
_cell_length_a 4.2307
_cell_length_b 4.2307
_cell_length_c 28.0086
_cell_angle_alpha 90.00
_cell_angle_beta 90.00
_cell_angle_gamma 120.00
loop_
_atom_site_label
_atom_site_type_symbol
_atom_site_fract_x
_atom_site_fract_y
_atom_site_fract_z
La1 La 0.0000 0.0000 0.0000
La2 La 0.0000 0.0000 0.2273
Hg1 Hg 0.0000 0.0000 0.4794
Te1 Te 0.0000 0.0000 0.7404
# E_tot: -45.31 eV/cell
# Density: 6.95 Mg/m³
# E_form (uncorrected): -0.45 eV/atom

# LaHgTe, optimized geometry, DFT GGA-PBE
data_LaHgTe
_chemical_formula_sum 'La2 Hg2 Te2'
_space_group_name_H-M_alt 'I 4 m m'
_space_group_IT_number 107
_space_group_name_Hall 'I 4 -2'
_cell_length_a 4.118
_cell_length_b 4.118
_cell_length_c 10.569
_cell_angle_alpha 90.00
_cell_angle_beta 90.00
_cell_angle_gamma 90.00
loop_
_atom_site_label
_atom_site_type_symbol
_atom_site_fract_x
_atom_site_fract_y
_atom_site_fract_z
La1 La 0.000 0.000 0.000
Hg1 Hg 0.000 0.000 0.668
Te1 Te 0.000 0.000 0.342
# E_tot: -21.83 eV/cell
# Density: 8.65 Mg/m³
# E_form (uncorrected): -0.85 eV/atom

# LaHg4Te, optimized geometry, DFT GGA-PBE
data_LaHg4Te
_chemical_formula_sum 'La4 Hg16 Te4'
_space_group_name_H-M_alt 'F -4 3 m'
_space_group_IT_number 216
_space_group_name_Hall 'F -4 2 3'
_cell_length_a 8.729
_cell_length_b 8.729
_cell_length_c 8.729
_cell_angle_alpha 90.00
_cell_angle_beta 90.00
_cell_angle_gamma 90.00
loop_
_atom_site_label
_atom_site_type_symbol
_atom_site_fract_x
_atom_site_fract_y
_atom_site_fract_z
La1 La 0.000 0.000 0.000
Hg1 Hg 0.125 0.125 0.375
Te1 Te 0.250 0.250 0.750
# E_tot: -43.56 eV/cell
# Density: 10.68 Mg/m³
# E_form (uncorrected): -0.27 eV/atom

# LaHgTe, optimized geometry, DFT GGA-PBE
data_LaHgTe
_chemical_formula_sum 'La1 Hg1 Te1'
_space_group_name_H-M_alt 'P 3 m 1'
_space_group_IT_number 156
_cell_length_a 4.4938
_cell_length_b 4.4938
_cell_length_c 5.9898
_cell_angle_alpha 90.00
_cell_angle_beta 90.00
_cell_angle_gamma 120.00
loop_
_space_group_symop_operation_xyz
'x,y,z'
'-y,x-y,z'
'-x+y,-x,z'
'-y,-x,z'
'-x+y,y,z'
'x,x-y,z'
loop_
_atom_site_label
_atom_site_type_symbol
_atom_site_fract_x
_atom_site_fract_y
_atom_site_fract_z
La1 La 0.0000 0.0000 0.0000
Hg1 Hg 0.3333 0.6667 0.6616
Te1 Te 0.6667 0.3333 0.3091
# E_tot: -10.49 eV/cell
# Density: 7.40 Mg/m³
# E_form (uncorrected): -0.71 eV/atom

# La2Hg2Te, optimized geometry, DFT GGA-PBE
data_La2Hg2Te
_chemical_formula_sum 'La4 Hg4 Te2'
_space_group_name_H-M_alt 'I 4/m m m'
_space_group_IT_number 139
_space_group_name_Hall '-I 4 2'
_cell_length_a 4.190
_cell_length_b 4.190
_cell_length_c 17.692
_cell_angle_alpha 90.00
_cell_angle_beta 90.00
_cell_angle_gamma 90.00
loop_
_atom_site_label
_atom_site_type_symbol
_atom_site_fract_x
_atom_site_fract_y
_atom_site_fract_z
La1 La 0.000 0.000 0.102
Hg1 Hg 0.000 0.500 0.250
Te1 Te 0.000 0.000 0.500
# E_tot: -33.91 eV/cell
# Density: 8.62 Mg/m³
# E_form (uncorrected): -0.67 eV/atom

# LaHgTe, optimized geometry, DFT GGA-PBE
data_LaHgTe
_chemical_formula_sum 'La1 Hg1 Te1'
_space_group_name_H-M_alt 'P 3 m 1'
_space_group_IT_number 156
_cell_length_a 5.0949
_cell_length_b 5.0949
_cell_length_c 4.0922
_cell_angle_alpha 90.00
_cell_angle_beta 90.00
_cell_angle_gamma 120.00
loop_
_space_group_symop_operation_xyz
'x,y,z'
'-y,x-y,z'
'-x+y,-x,z'
'-y,-x,z'
'-x+y,y,z'
'x,x-y,z'
loop_
_atom_site_label
_atom_site_type_symbol
_atom_site_fract_x
_atom_site_fract_y
_atom_site_fract_z
La1 La 0.0000 0.0000 0.0000
Hg1 Hg 0.3333 0.6667 0.6897
Te1 Te 0.6667 0.3333 0.4335
# E_tot: -10.67 eV/cell
# Density: 8.43 Mg/m³
# E_form (uncorrected): -0.77 eV/atom

# LaHgTe, optimized geometry, DFT GGA-PBE
data_LaHgTe
_chemical_formula_sum 'La4 Hg4 Te4'
_space_group_name_H-M_alt 'F -4 3 m'
_space_group_IT_number 216
_space_group_name_Hall 'F -4 2 3'
_cell_length_a 7.530
_cell_length_b 7.530
_cell_length_c 7.530
_cell_angle_alpha 90.00
_cell_angle_beta 90.00
_cell_angle_gamma 90.00
loop_
_atom_site_label
_atom_site_type_symbol
_atom_site_fract_x
_atom_site_fract_y
_atom_site_fract_z
La1 La 0.000 0.000 0.000
Hg1 Hg 0.250 0.250 0.750
Te1 Te 0.250 0.250 0.250
# E_tot: -42.92 eV/cell
# Density: 7.27 Mg/m³
# E_form (uncorrected): -0.79 eV/atom

# LaHg2Te, optimized geometry, DFT GGA-PBE
data_LaHg2Te
_chemical_formula_sum 'La1 Hg2 Te1'
_space_group_name_H-M_alt 'P 4/m m m'
_space_group_IT_number 123
_space_group_name_Hall '-P 4 2'
_cell_length_a 4.588
_cell_length_b 4.588
_cell_length_c 5.485
_cell_angle_alpha 90.00
_cell_angle_beta 90.00
_cell_angle_gamma 90.00
loop_
_atom_site_label
_atom_site_type_symbol
_atom_site_fract_x
_atom_site_fract_y
_atom_site_fract_z
La1 La 0.000 0.000 0.000
Hg1 Hg 0.000 0.500 0.500
Te1 Te 0.500 0.500 0.000
# E_tot: -11.64 eV/cell
# Density: 9.60 Mg/m³
# E_form (uncorrected): -0.74 eV/atom

# LaHg2Te, optimized geometry, DFT GGA-PBE
data_LaHg2Te
_chemical_formula_sum 'La1 Hg2 Te1'
_space_group_name_H-M_alt 'P 1 m 1'
_space_group_IT_number 6
_cell_length_a 4.132
_cell_length_b 4.157
_cell_length_c 6.990
_cell_angle_alpha 90.00
_cell_angle_beta 90.04
_cell_angle_gamma 90.00
loop_
_space_group_symop_operation_xyz
'x,y,z'
'x,-y,z'
loop_
_atom_site_label
_atom_site_type_symbol
_atom_site_fract_x
_atom_site_fract_y
_atom_site_fract_z
La1 La 0.000 0.000 0.000
Hg1 Hg 0.007 0.000 0.511
Hg2 Hg 0.506 0.500 0.704
Te1 Te 0.500 0.500 0.201
# E_tot: -11.37 eV/cell
# Density: 9.23 Mg/m³
# E_form (uncorrected): -0.67 eV/atom

# LaHg2Te, optimized geometry, DFT GGA-PBE
data_LaHg2Te
_chemical_formula_sum 'La4 Hg8 Te4'
_space_group_name_H-M_alt 'F m m m'
_space_group_IT_number 69
_space_group_name_Hall '-F 2 2'
_cell_length_a 6.337
_cell_length_b 6.393
_cell_length_c 12.509
_cell_angle_alpha 90.00
_cell_angle_beta 90.00
_cell_angle_gamma 90.00
loop_
_atom_site_label
_atom_site_type_symbol
_atom_site_fract_x
_atom_site_fract_y
_atom_site_fract_z
La1 La 0.000 0.000 0.000
Hg1 Hg 0.250 0.000 0.250
Te1 Te 0.000 0.000 0.500
# E_tot: -45.87 eV/cell
# Density: 8.75 Mg/m³
# E_form (uncorrected): -0.70 eV/atom

# LaHgTe3, optimized geometry, DFT GGA-PBE
data_LaHgTe3
_chemical_formula_sum 'La1 Hg1 Te3'
_space_group_name_H-M_alt 'P m -3 m'
_space_group_IT_number 221
_space_group_name_Hall '-P 4 2 3'
_cell_length_a 5.575
_cell_length_b 5.575
_cell_length_c 5.575
_cell_angle_alpha 90.00
_cell_angle_beta 90.00
_cell_angle_gamma 90.00
loop_
_atom_site_label
_atom_site_type_symbol
_atom_site_fract_x
_atom_site_fract_y
_atom_site_fract_z
La1 La 0.000 0.000 0.000
Hg1 Hg 0.500 0.500 0.500
Te1 Te 0.000 0.500 0.500
# E_tot: -15.88 eV/cell
# Density: 6.92 Mg/m³
# E_form (uncorrected): -0.24 eV/atom